WO2F: optimized geometry, GGA+U.

abc: 5.409 5.409 5.283
angles: 93.67 93.67 116.23
Atoms (fractional coordinates):
W  0.164  0.836  0.000
W  0.836  0.164  0.000
O  0.116  0.116  0.217
O  0.519  0.900  0.158
O  0.900  0.519  0.158
O  0.904  0.904  0.772
F  0.118  0.480  0.774
F  0.480  0.118  0.774

Output
For the distance to the lowest polymorph of the same formula, the calculation gives 0.155 eV/atom. The calculation puts the spin magnetization at 2.0 Bohr magnetons per cell. The total energy is -6.787 eV/atom. The space-group type is Cm (8).